--- one ---
An optimized crystal structure of La2Ga2Pt, computed with PBE.

Lattice parameters (Å, degrees): 5.8957 5.8957 11.1563 115.09 115.09 45.30
With the nearest neighbours (Å) after each atom.
Positions (direct):
La (0.0161, 0.0161, 0.3332)  4 Pt 3.14-3.44, 7 Ga 3.17-3.47
La (0.1949, 0.1949, 0.1220)  6 Ga 3.19-3.32, 2 Pt 3.20
La (0.8051, 0.8051, 0.8780)  6 Ga 3.19-3.32, 2 Pt 3.20
La (0.9839, 0.9839, 0.6668)  4 Pt 3.14-3.44, 7 Ga 3.17-3.47
Ga (0.3518, 0.3518, 0.4463)  3 Pt 2.63-2.93, 1 Ga 2.88
Ga (0.4830, 0.4830, 0.1100)  1 Ga 2.65, 1 Pt 2.71
Ga (0.5170, 0.5170, 0.8900)  1 Ga 2.65, 1 Pt 2.71
Ga (0.6482, 0.6482, 0.5537)  3 Pt 2.63-2.93, 1 Ga 2.88
Pt (0.2709, 0.2709, 0.6630)  4 Ga 2.63-2.93
Pt (0.7291, 0.7291, 0.3370)  4 Ga 2.63-2.93

Output
Calculated density ... 8.3 Mg/m³
Space group ... C2/m (12)
N(E_F) ... 9.45 states/eV/cell

--- two ---
An optimized crystal structure of La2Ga2Pt, computed with PBE.

Lattice parameters (Å, degrees): 6.9985 6.9985 4.7669 90.00 90.00 90.00
With the nearest neighbours (Å) after each atom.
Positions (direct):
La (0.1672, 0.3328, 0.0000)  6 Ga 3.07-3.20, 1 La 3.31
La (0.3328, 0.8328, 0.0000)  6 Ga 3.07-3.20, 1 La 3.31
La (0.6672, 0.1672, 0.0000)  6 Ga 3.07-3.20, 1 La 3.31
La (0.8328, 0.6672, 0.0000)  6 Ga 3.07-3.20, 1 La 3.31
Ga (0.1375, 0.6375, 0.5000)  2 Pt 2.71, 1 Ga 2.72
Ga (0.3625, 0.1375, 0.5000)  2 Pt 2.71, 1 Ga 2.72
Ga (0.6375, 0.8625, 0.5000)  2 Pt 2.71, 1 Ga 2.72
Ga (0.8625, 0.3625, 0.5000)  2 Pt 2.71, 1 Ga 2.72
Pt (0.0000, 0.0000, 0.5000)  4 Ga 2.71
Pt (0.5000, 0.5000, 0.5000)  4 Ga 2.71

Output
Calculated density ... 8.7 Mg/m³
Space group ... P4/mbm (127)
N(E_F) ... 7.36 states/eV/cell

Which of them is most stable? Easy: one.

--- one ---
An optimized crystal structure of LaGaPt4, computed with PBE.

Lattice parameters (Å, degrees): 5.4389 5.4389 5.4389 60.00 60.00 60.00
With the nearest neighbours (Å) after each atom.
Positions (direct):
La (0.0000, 0.0000, 0.0000)  12 Pt 3.19, 4 Ga 3.33
Ga (0.7500, 0.7500, 0.7500)  12 Pt 3.19, 4 La 3.33
Pt (0.3758, 0.3758, 0.3758)  6 Pt 2.70-2.74
Pt (0.3758, 0.3758, 0.8725)  6 Pt 2.70-2.74
Pt (0.3758, 0.8725, 0.3758)  6 Pt 2.70-2.74
Pt (0.8725, 0.3758, 0.3758)  6 Pt 2.70-2.74

Output
Calculated density ... 14.4 Mg/m³
Space group ... F-43m (216)
N(E_F) ... 2.06 states/eV/cell

--- two ---
An optimized crystal structure of LaGaPt4, computed with PBE.

Lattice parameters (Å, degrees): 7.6971 4.0754 7.0814 90.00 90.00 90.00
With the nearest neighbours (Å) after each atom.
Positions (direct):
La (0.2500, 0.0000, 0.1443)  1 Ga 3.00, 8 Pt 3.02-3.17
La (0.7500, 0.0000, 0.8557)  1 Ga 3.00, 8 Pt 3.02-3.17
Ga (0.2500, 0.0000, 0.7209)  8 Pt 2.48-2.76
Ga (0.7500, 0.0000, 0.2791)  8 Pt 2.48-2.76
Pt (0.0000, 0.0000, 0.5000)  2 Ga 2.48
Pt (0.0491, 0.5000, 0.8062)  2 Ga 2.63, 2 Pt 2.85-2.90
Pt (0.2500, 0.5000, 0.4589)  2 Ga 2.76, 8 Pt 2.82-2.97, 2 La 3.02
Pt (0.4509, 0.5000, 0.8062)  2 Ga 2.63, 2 Pt 2.85-2.90
Pt (0.5000, 0.0000, 0.5000)  2 Ga 2.48
Pt (0.5491, 0.5000, 0.1938)  2 Ga 2.63, 2 Pt 2.85-2.90
Pt (0.7500, 0.5000, 0.5411)  2 Ga 2.76, 8 Pt 2.82-2.97, 2 La 3.02
Pt (0.9509, 0.5000, 0.1938)  2 Ga 2.63, 2 Pt 2.85-2.90

Output
Calculated density ... 14.8 Mg/m³
Space group ... Pmma (51)
N(E_F) ... 6.16 states/eV/cell

Which of them is most stable? Easy: one.

--- one ---
An optimized crystal structure of La2Ga5Pt, computed with PBE.

Lattice parameters (Å, degrees): 6.2308 6.2308 9.3435 90.00 90.00 90.00
With the nearest neighbours (Å) after each atom.
Positions (direct):
La (0.0000, 0.5000, 0.0000)  10 Ga 3.13-3.24
La (0.0000, 0.5000, 0.5000)  10 Ga 3.13-3.24
La (0.5000, 0.0000, 0.0000)  10 Ga 3.13-3.24
La (0.5000, 0.0000, 0.5000)  10 Ga 3.13-3.24
Ga (0.0000, 0.0000, 0.4662)  1 Pt 2.51, 4 Ga 2.74
Ga (0.2126, 0.2126, 0.2516)  1 Pt 2.54, 3 Ga 2.65-2.74
Ga (0.2126, 0.7874, 0.2516)  1 Pt 2.54, 3 Ga 2.65-2.74
Ga (0.2874, 0.2874, 0.7516)  1 Pt 2.54, 3 Ga 2.65-2.74
Ga (0.2874, 0.7126, 0.7516)  1 Pt 2.54, 3 Ga 2.65-2.74
Ga (0.5000, 0.5000, 0.9662)  1 Pt 2.51, 4 Ga 2.74
Ga (0.7126, 0.2874, 0.7516)  1 Pt 2.54, 3 Ga 2.65-2.74
Ga (0.7126, 0.7126, 0.7516)  1 Pt 2.54, 3 Ga 2.65-2.74
Ga (0.7874, 0.2126, 0.2516)  1 Pt 2.54, 3 Ga 2.65-2.74
Ga (0.7874, 0.7874, 0.2516)  1 Pt 2.54, 3 Ga 2.65-2.74
Pt (0.0000, 0.0000, 0.7352)  5 Ga 2.51-2.54
Pt (0.5000, 0.5000, 0.2352)  5 Ga 2.51-2.54

Output
Calculated density ... 7.5 Mg/m³
Space group ... I4mm (107)
N(E_F) ... 8.46 states/eV/cell

--- two ---
An optimized crystal structure of La2Ga5Pt, computed with PBE.

Lattice parameters (Å, degrees): 9.0795 9.0795 9.1139 90.00 90.00 152.50
With the nearest neighbours (Å) after each atom.
Positions (direct):
La (0.0000, 0.0000, 0.0000)  10 Ga 3.31-3.43, 4 Pt 3.34
La (0.0000, 0.0000, 0.5000)  10 Ga 3.31-3.43, 4 Pt 3.34
La (0.2025, 0.7975, 0.7500)  10 Ga 3.20-3.29, 2 Pt 3.24
La (0.7975, 0.2025, 0.2500)  10 Ga 3.20-3.29, 2 Pt 3.24
Ga (0.1846, 0.8154, 0.1092)  3 Ga 2.55-2.57
Ga (0.1846, 0.8154, 0.3908)  3 Ga 2.55-2.57
Ga (0.3578, 0.6422, 0.0150)  1 Pt 2.53, 3 Ga 2.55-2.67
Ga (0.3578, 0.6422, 0.4850)  1 Pt 2.53, 3 Ga 2.55-2.67
Ga (0.4218, 0.5782, 0.7500)  1 Pt 2.53, 2 Ga 2.67
Ga (0.5782, 0.4218, 0.2500)  1 Pt 2.53, 2 Ga 2.67
Ga (0.6422, 0.3578, 0.5150)  1 Pt 2.53, 3 Ga 2.55-2.67
Ga (0.6422, 0.3578, 0.9850)  1 Pt 2.53, 3 Ga 2.55-2.67
Ga (0.8154, 0.1846, 0.6092)  3 Ga 2.55-2.57
Ga (0.8154, 0.1846, 0.8908)  3 Ga 2.55-2.57
Pt (0.4346, 0.5654, 0.2500)  3 Ga 2.53
Pt (0.5654, 0.4346, 0.7500)  3 Ga 2.53

Output
Calculated density ... 7.9 Mg/m³
Space group ... Cmcm (63)
N(E_F) ... 6.80 states/eV/cell

Which of them is most stable? Easy: two.

--- one ---
An optimized crystal structure of LaPuGa4, computed with PBE.

Lattice parameters (Å, degrees): 4.4443 7.4016 7.8857 90.00 90.00 90.00
With the nearest neighbours (Å) after each atom.
Positions (direct):
La (0.0000, 0.0000, 0.0000)  12 Ga 3.15-3.25
La (0.5000, 0.5000, 0.5000)  12 Ga 3.15-3.25
Pu (0.0000, 0.5000, 0.0000)  12 Ga 3.10-3.29
Pu (0.5000, 0.0000, 0.5000)  12 Ga 3.10-3.29
Ga (0.0000, 0.2329, 0.3337)  3 Ga 2.60-2.62
Ga (0.0000, 0.2329, 0.6663)  3 Ga 2.60-2.62
Ga (0.0000, 0.7671, 0.3337)  3 Ga 2.60-2.62
Ga (0.0000, 0.7671, 0.6663)  3 Ga 2.60-2.62
Ga (0.5000, 0.2671, 0.1663)  3 Ga 2.60-2.62
Ga (0.5000, 0.2671, 0.8337)  3 Ga 2.60-2.62
Ga (0.5000, 0.7329, 0.1663)  3 Ga 2.60-2.62
Ga (0.5000, 0.7329, 0.8337)  3 Ga 2.60-2.62

Output
Calculated density ... 8.5 Mg/m³
Space group ... Immm (71)
N(E_F) ... 22.87 states/eV/cell

--- two ---
An optimized crystal structure of LaPuGa4, computed with PBE.

Lattice parameters (Å, degrees): 5.6155 5.6155 5.6155 60.00 60.00 60.00
With the nearest neighbours (Å) after each atom.
Positions (direct):
La (0.0000, 0.0000, 0.0000)  12 Ga 3.29, 4 Pu 3.44
Pu (0.2500, 0.2500, 0.2500)  12 Ga 3.29, 4 La 3.44
Ga (0.1266, 0.6245, 0.6245)  6 Ga 2.80-2.82
Ga (0.6245, 0.1266, 0.6245)  6 Ga 2.80-2.82
Ga (0.6245, 0.6245, 0.1266)  6 Ga 2.80-2.82
Ga (0.6245, 0.6245, 0.6245)  6 Ga 2.80-2.82

Output
Calculated density ... 8.8 Mg/m³
Space group ... F-43m (216)
N(E_F) ... 12.85 states/eV/cell

--- three ---
An optimized crystal structure of LaPuGa4, computed with PBE.

Lattice parameters (Å, degrees): 4.2917 4.2917 8.6291 90.00 90.00 120.00
With the nearest neighbours (Å) after each atom.
Positions (direct):
La (0.0000, 0.0000, 0.0000)  12 Ga 3.35
Pu (0.0000, 0.0000, 0.5000)  12 Ga 3.22
Ga (0.3333, 0.6667, 0.2610)  3 Ga 2.48
Ga (0.3333, 0.6667, 0.7390)  3 Ga 2.48
Ga (0.6667, 0.3333, 0.2610)  3 Ga 2.48
Ga (0.6667, 0.3333, 0.7390)  3 Ga 2.48

Output
Calculated density ... 8.0 Mg/m³
Space group ... P6/mmm (191)
N(E_F) ... 14.97 states/eV/cell

Which of them is most stable? Easy: three.

--- one ---
An optimized crystal structure of RbLaGa2Se, computed with PBE.

Lattice parameters (Å, degrees): 6.0212 6.0212 5.7732 90.00 90.00 90.00
With the nearest neighbours (Å) after each atom.
Positions (direct):
Rb (0.0000, 0.0000, 0.0000)  8 Ga 4.17, 4 Se 4.26
La (0.5000, 0.5000, 0.5000)  2 Se 2.89, 4 Ga 3.01
Ga (0.0000, 0.5000, 0.5000)  2 La 3.01
Ga (0.5000, 0.0000, 0.5000)  2 La 3.01
Se (0.5000, 0.5000, 0.0000)  2 La 2.89

Output
Calculated density ... 3.5 Mg/m³
Space group ... P4/mmm (123)
N(E_F) ... 3.81 states/eV/cell

--- two ---
An optimized crystal structure of RbLaGa2Se, computed with PBE.

Lattice parameters (Å, degrees): 5.7563 5.7563 8.4871 90.00 90.00 90.00
With the nearest neighbours (Å) after each atom.
Positions (direct):
Rb (0.0000, 0.0000, 0.0000)  4 Se 4.07, 2 La 4.24
La (0.0000, 0.0000, 0.5000)  4 Ga 2.88
Ga (0.0000, 0.5000, 0.5000)  2 La 2.88
Ga (0.5000, 0.0000, 0.5000)  2 La 2.88
Se (0.5000, 0.5000, 0.0000)  4 Rb 4.07

Output
Calculated density ... 2.6 Mg/m³
Space group ... P4/mmm (123)
N(E_F) ... 10.36 states/eV/cell

Which of them is most stable? Easy: one.

--- one ---
An optimized crystal structure of LaGa3Re, computed with PBE.

Lattice parameters (Å, degrees): 4.8325 4.8325 4.8325 90.00 90.00 90.00
With the nearest neighbours (Å) after each atom.
Positions (direct):
La (0.0000, 0.0000, 0.0000)  12 Ga 3.42
Ga (0.0000, 0.5000, 0.5000)  2 Re 2.42
Ga (0.5000, 0.0000, 0.5000)  2 Re 2.42
Ga (0.5000, 0.5000, 0.0000)  2 Re 2.42
Re (0.5000, 0.5000, 0.5000)  6 Ga 2.42

Output
Calculated density ... 7.9 Mg/m³
Space group ... Pm-3m (221)
N(E_F) ... 1.97 states/eV/cell

--- two ---
An optimized crystal structure of LaGa3Re, computed with PBE.

Lattice parameters (Å, degrees): 5.3482 5.3482 5.3482 90.00 90.00 90.00
With the nearest neighbours (Å) after each atom.
Positions (direct):
La (0.0000, 0.0000, 0.0000)  6 Ga 2.67
Ga (0.0000, 0.0000, 0.5000)  2 La 2.67
Ga (0.0000, 0.5000, 0.0000)  2 La 2.67
Ga (0.5000, 0.0000, 0.0000)  2 La 2.67
Re (0.5000, 0.5000, 0.5000)  12 Ga 3.78

Output
Calculated density ... 5.8 Mg/m³
Space group ... Pm-3m (221)
N(E_F) ... 18.54 states/eV/cell

Which of them is most stable? Easy: one.

--- one ---
An optimized crystal structure of La4GaRh, computed with PBE.

Lattice parameters (Å, degrees): 6.4353 7.0907 8.5395 90.00 109.97 90.00
With the nearest neighbours (Å) after each atom.
Positions (direct):
La (0.0124, 0.0032, 0.2327)  2 Rh 2.98-3.02, 2 Ga 3.16-3.20
La (0.0124, 0.4968, 0.2327)  2 Rh 2.98-3.02, 2 Ga 3.16-3.20
La (0.4177, 0.2500, 0.6218)  1 Rh 2.87
La (0.4384, 0.2500, 0.0915)  1 Rh 2.82, 1 Ga 3.10
La (0.5616, 0.7500, 0.9085)  1 Rh 2.82, 1 Ga 3.10
La (0.5823, 0.7500, 0.3782)  1 Rh 2.87
La (0.9876, 0.5032, 0.7673)  2 Rh 2.98-3.02, 2 Ga 3.16-3.20
La (0.9876, 0.9968, 0.7673)  2 Rh 2.98-3.02, 2 Ga 3.16-3.20
Ga (0.2107, 0.7500, 0.5535)  6 La 3.10-3.23
Ga (0.7893, 0.2500, 0.4465)  6 La 3.10-3.23
Rh (0.2350, 0.7500, 0.0605)  6 La 2.82-3.02
Rh (0.7650, 0.2500, 0.9395)  6 La 2.82-3.02

Output
Calculated density ... 6.6 Mg/m³
Space group ... P2_1/m (11)
N(E_F) ... 13.58 states/eV/cell

--- two ---
An optimized crystal structure of La4GaRh, computed with PBE.

Lattice parameters (Å, degrees): 8.4076 8.4076 6.2804 104.76 104.76 115.19
With the nearest neighbours (Å) after each atom.
Positions (direct):
La (0.0675, 0.6902, 0.9183)  2 Ga 3.20-3.25, 2 Rh 3.21-3.29, 1 La 3.43
La (0.2145, 0.3530, 0.6767)  2 Rh 2.84-2.99
La (0.3098, 0.9325, 0.5817)  2 Ga 3.20-3.25, 2 Rh 3.21-3.29, 1 La 3.43
La (0.3530, 0.2145, 0.1767)  2 Rh 2.84-2.99
La (0.6470, 0.7855, 0.8233)  2 Rh 2.84-2.99
La (0.6902, 0.0675, 0.4183)  2 Ga 3.20-3.25, 2 Rh 3.21-3.29, 1 La 3.43
La (0.7855, 0.6470, 0.3233)  2 Rh 2.84-2.99
La (0.9325, 0.3098, 0.0817)  2 Ga 3.20-3.25, 2 Rh 3.21-3.29, 1 La 3.43
Ga (0.3778, 0.6222, 0.2500)  8 La 3.20-3.26
Ga (0.6222, 0.3778, 0.7500)  8 La 3.20-3.26
Rh (0.0033, 0.9967, 0.7500)  4 La 2.84-2.99, 2 Rh 3.14
Rh (0.9967, 0.0033, 0.2500)  4 La 2.84-2.99, 2 Rh 3.14

Output
Calculated density ... 6.8 Mg/m³
Space group ... C2/c (15)
N(E_F) ... 12.46 states/eV/cell

Which of them is most stable? Easy: two.

--- one ---
An optimized crystal structure of La2Ga2Rh, computed with PBE.

Lattice parameters (Å, degrees): 7.9460 7.9460 4.3058 90.00 90.00 90.00
With the nearest neighbours (Å) after each atom.
Positions (direct):
La (0.1903, 0.3097, 0.0000)  2 Rh 2.89, 2 Ga 3.10
La (0.3097, 0.8097, 0.0000)  2 Rh 2.89, 2 Ga 3.10
La (0.6903, 0.1903, 0.0000)  2 Rh 2.89, 2 Ga 3.10
La (0.8097, 0.6903, 0.0000)  2 Rh 2.89, 2 Ga 3.10
Ga (0.1106, 0.6106, 0.5000)  1 Ga 2.49
Ga (0.3894, 0.1106, 0.5000)  1 Ga 2.49
Ga (0.6106, 0.8894, 0.5000)  1 Ga 2.49
Ga (0.8894, 0.3894, 0.5000)  1 Ga 2.49
Rh (0.0000, 0.0000, 0.0000)  4 La 2.89
Rh (0.5000, 0.5000, 0.0000)  4 La 2.89

Output
Calculated density ... 6.4 Mg/m³
Space group ... P4/mbm (127)
N(E_F) ... 12.61 states/eV/cell

--- two ---
An optimized crystal structure of La2Ga2Rh, computed with PBE.

Lattice parameters (Å, degrees): 6.2339 6.2339 12.1404 116.55 116.55 36.80
With the nearest neighbours (Å) after each atom.
Positions (direct):
La (0.0937, 0.0937, 0.3827)  2 Rh 2.92, 3 Ga 3.17-3.25
La (0.2807, 0.2807, 0.8573)  2 Rh 2.99, 7 Ga 3.29-3.34
La (0.7193, 0.7193, 0.1427)  2 Rh 2.99, 7 Ga 3.29-3.34
La (0.9063, 0.9063, 0.6173)  2 Rh 2.92, 3 Ga 3.17-3.25
Ga (0.0296, 0.0296, 0.9127)  1 Ga 2.53, 2 Rh 2.56
Ga (0.3780, 0.3780, 0.3891)  1 Rh 2.66, 1 Ga 2.87
Ga (0.6220, 0.6220, 0.6109)  1 Rh 2.66, 1 Ga 2.87
Ga (0.9704, 0.9704, 0.0873)  1 Ga 2.53, 2 Rh 2.56
Rh (0.4302, 0.4302, 0.1989)  3 Ga 2.56-2.66
Rh (0.5698, 0.5698, 0.8011)  3 Ga 2.56-2.66

Output
Calculated density ... 6.9 Mg/m³
Space group ... C2/m (12)
N(E_F) ... 8.56 states/eV/cell

--- three ---
An optimized crystal structure of La2Ga2Rh, computed with PBE.

Lattice parameters (Å, degrees): 7.0072 7.0072 4.6988 90.00 90.00 90.00
With the nearest neighbours (Å) after each atom.
Positions (direct):
La (0.1665, 0.3335, 0.0000)  6 Ga 3.04-3.19, 1 La 3.30
La (0.3335, 0.8335, 0.0000)  6 Ga 3.04-3.19, 1 La 3.30
La (0.6665, 0.1665, 0.0000)  6 Ga 3.04-3.19, 1 La 3.30
La (0.8335, 0.6665, 0.0000)  6 Ga 3.04-3.19, 1 La 3.30
Ga (0.1396, 0.6396, 0.5000)  2 Rh 2.71, 1 Ga 2.77
Ga (0.3604, 0.1396, 0.5000)  2 Rh 2.71, 1 Ga 2.77
Ga (0.6396, 0.8604, 0.5000)  2 Rh 2.71, 1 Ga 2.77
Ga (0.8604, 0.3604, 0.5000)  2 Rh 2.71, 1 Ga 2.77
Rh (0.0000, 0.0000, 0.5000)  4 Ga 2.71
Rh (0.5000, 0.5000, 0.5000)  4 Ga 2.71

Output
Calculated density ... 7.5 Mg/m³
Space group ... P4/mbm (127)
N(E_F) ... 11.33 states/eV/cell

--- four ---
An optimized crystal structure of La2Ga2Rh, computed with PBE.

Lattice parameters (Å, degrees): 3.6811 3.6811 18.1874 90.00 90.00 90.00
With the nearest neighbours (Å) after each atom.
Positions (direct):
La (0.0000, 0.0000, 0.0929)  4 Rh 3.10, 1 La 3.38, 4 Ga 3.40
La (0.0000, 0.0000, 0.9071)  4 Rh 3.10, 1 La 3.38, 4 Ga 3.40
La (0.5000, 0.5000, 0.4071)  4 Rh 3.10, 1 La 3.38, 4 Ga 3.40
La (0.5000, 0.5000, 0.5929)  4 Rh 3.10, 1 La 3.38, 4 Ga 3.40
Ga (0.0000, 0.5000, 0.2500)  4 Ga 2.60
Ga (0.0000, 0.5000, 0.7500)  4 Ga 2.60
Ga (0.5000, 0.0000, 0.2500)  4 Ga 2.60
Ga (0.5000, 0.0000, 0.7500)  4 Ga 2.60
Rh (0.0000, 0.0000, 0.5000)  8 La 3.10
Rh (0.5000, 0.5000, 0.0000)  8 La 3.10

Output
Calculated density ... 7.0 Mg/m³
Space group ... I4/mmm (139)
N(E_F) ... 8.06 states/eV/cell

Which of them is most stable? Easy: two.